1.
Cd2Cu2Ru: optimized geometry, PBE.

a b c (Å): 3.9193 3.9193 11.2845
angles (deg): 90.00 90.00 90.00
With the nearest neighbours (Å) after each atom.
Positions (direct):
Cd  0.0000  0.5000  0.2500  4 Cu 2.61, 4 Cd 2.77
Cd  0.0000  0.5000  0.7500  4 Cu 2.61, 4 Cd 2.77
Cd  0.5000  0.0000  0.2500  4 Cu 2.61, 4 Cd 2.77
Cd  0.5000  0.0000  0.7500  4 Cu 2.61, 4 Cd 2.77
Cu  0.0000  0.0000  0.0969  1 Cu 2.19
Cu  0.0000  0.0000  0.9031  1 Cu 2.19
Cu  0.5000  0.5000  0.4031  1 Cu 2.19
Cu  0.5000  0.5000  0.5969  1 Cu 2.19
Ru  0.0000  0.0000  0.5000  8 Cu 2.98
Ru  0.5000  0.5000  0.0000  8 Cu 2.98

Crystal system ... tetragonal
DFT formation energy ... 3.41 eV per formula unit
Energy above the lowest structure with this stoichiometry ... 1.78 eV per formula unit
Space group ... I4/mmm, No. 139
VASP energy ... -3.1778 eV/atom


2.
NdDyGaPd: optimized geometry, PBE.

a b c (Å): 4.4757 3.8453 11.2667
angles (deg): 90.00 90.00 90.00
With the nearest neighbours (Å) after each atom.
Positions (direct):
Nd  0.0000  0.0000  0.0000  4 Ga 3.06, 3 Pd 3.13-3.16
Nd  0.0000  0.5000  0.5000  4 Ga 3.06, 3 Pd 3.13-3.16
Dy  0.5000  0.0000  0.7147  4 Pd 3.03, 3 Ga 3.06-3.25
Dy  0.5000  0.5000  0.2147  4 Pd 3.03, 3 Ga 3.06-3.25
Ga  0.5000  0.0000  0.4263  2 Pd 2.80, 2 Dy 3.06, 4 Nd 3.06
Ga  0.5000  0.5000  0.9263  2 Pd 2.80, 2 Dy 3.06, 4 Nd 3.06
Pd  0.0000  0.0000  0.2776  2 Ga 2.80, 4 Dy 3.03, 1 Nd 3.13
Pd  0.0000  0.5000  0.7776  2 Ga 2.80, 4 Dy 3.03, 1 Nd 3.13

Crystal system ... orthorhombic
DFT formation energy ... -2.78 eV per formula unit
Energy above the lowest structure with this stoichiometry ... 0.00 eV per formula unit
Space group ... Amm2, No. 38
VASP energy ... -5.0918 eV/atom


3.
TaIr2Cl: optimized geometry, PBE.

a b c (Å): 9.6916 2.8663 4.5418
angles (deg): 90.00 90.75 90.00
With the nearest neighbours (Å) after each atom.
Positions (direct):
Ta  0.0000  0.0000  0.0000  4 Cl 2.69, 6 Ir 2.84-2.88, 2 Ta 2.87
Ta  0.5000  0.5000  0.0000  4 Cl 2.69, 6 Ir 2.84-2.88, 2 Ta 2.87
Ir  0.2276  0.5000  0.2442  1 Cl 2.51, 4 Ir 2.68-2.76
Ir  0.2724  0.0000  0.7558  1 Cl 2.51, 4 Ir 2.68-2.76
Ir  0.7276  0.0000  0.2442  1 Cl 2.51, 4 Ir 2.68-2.76
Ir  0.7724  0.5000  0.7558  1 Cl 2.51, 4 Ir 2.68-2.76
Cl  0.0000  0.5000  0.5000  2 Ir 2.51, 4 Ta 2.69
Cl  0.5000  0.0000  0.5000  2 Ir 2.51, 4 Ta 2.69

Crystal system ... monoclinic
Formation energy (no corrections) ... 0.16 eV per atom
Energy above the lowest structure with this stoichiometry ... 0.68 eV per formula unit
Space group ... C2/m, No. 12
VASP energy ... -7.6970 eV/atom


What is the formula in the second record? NdDyGaPd